Below is crystalline CoBiB3 at its relaxed geometry, with properties calculated at the PBE level.

Summary:
ΔE_f	1.1080	eV/atom
electronic total energy	-5.096	eV per atom
relative energy among the computed polymorphs	0.00	eV/f.u.

Lattice parameters (Å, degrees): 3.9875 3.9875 3.9875 90.00 90.00 90.00
Positions (direct):
Co  0.0000  0.0000  0.0000
Bi  0.5000  0.5000  0.5000
B  0.0000  0.0000  0.5000
B  0.0000  0.5000  0.0000
B  0.5000  0.0000  0.0000